Density functional theory data (GGA-PBE) for a relaxed TbPr5Al6 crystal.

a = 9.1481 Å, b = 9.1481 Å, c = 9.1481 Å
α = 146.40°, β = 131.93°, γ = 59.92°
Closest atoms and distances in Å follow each position.
Element x y z (fractional)
Tb 0.0000 0.0000 0.0000  8 Al 3.15-3.16
Pr 0.1728 0.6728 0.5000  8 Al 3.20-3.24
Pr 0.3369 0.3369 0.0000  8 Al 3.27-3.29
Pr 0.5000 0.0000 0.5000  8 Al 3.23-3.31
Pr 0.6631 0.6631 0.0000  8 Al 3.27-3.29
Pr 0.8272 0.3272 0.5000  8 Al 3.20-3.24
Al 0.0779 0.8369 0.2410  1 Tb 3.15, 7 Pr 3.20-3.29
Al 0.2323 0.5000 0.7323  2 Tb 3.16, 6 Pr 3.24-3.31, 1 Al 3.46
Al 0.4041 0.1631 0.2410  1 Tb 3.15, 7 Pr 3.20-3.29
Al 0.5959 0.8369 0.7590  1 Tb 3.15, 7 Pr 3.20-3.29
Al 0.7677 0.5000 0.2677  2 Tb 3.16, 6 Pr 3.24-3.31, 1 Al 3.46
Al 0.9221 0.1631 0.7590  1 Tb 3.15, 7 Pr 3.20-3.29

Values from the calculation:
Space-group type: Immm

Density functional theory data (GGA-PBE) for a relaxed AcMgGaSb crystal.

a = 5.3982 Å, b = 5.3982 Å, c = 5.3982 Å
α = 60.00°, β = 60.00°, γ = 60.00°
Closest atoms and distances in Å follow each position.
Element x y z (fractional)
Ac 0.0000 0.0000 0.0000  4 Ga 3.31, 4 Sb 3.31
Mg 0.5000 0.5000 0.5000  4 Sb 3.31, 4 Ga 3.31
Ga 0.7500 0.7500 0.7500  4 Mg 3.31, 4 Ac 3.31
Sb 0.2500 0.2500 0.2500  4 Mg 3.31, 4 Ac 3.31

Values from the calculation:
Space-group type: F-43m
Raw formation energy in meV/atom: -369

Density functional theory data (GGA-PBE) for a relaxed PrDyTm2Bi4 crystal.

a = 7.7848 Å, b = 4.5035 Å, c = 7.7914 Å
α = 90.00°, β = 109.50°, γ = 90.00°
Closest atoms and distances in Å follow each position.
Element x y z (fractional)
Pr 0.0000 0.0000 0.0000  6 Bi 3.24
Dy 0.0000 0.5000 0.5000  6 Bi 3.19-3.20
Tm 0.5000 0.0000 0.5000  6 Bi 3.12
Tm 0.5000 0.5000 0.0000  6 Bi 3.17
Bi 0.2570 0.0000 0.7475  3 Tm 3.12-3.17, 2 Dy 3.20, 1 Pr 3.24
Bi 0.2604 0.5000 0.2584  3 Tm 3.12-3.17, 1 Dy 3.19, 2 Pr 3.24
Bi 0.7396 0.5000 0.7416  3 Tm 3.12-3.17, 1 Dy 3.19, 2 Pr 3.24
Bi 0.7430 0.0000 0.2525  3 Tm 3.12-3.17, 2 Dy 3.20, 1 Pr 3.24

Values from the calculation:
Space-group type: P2/m

Density functional theory data (GGA-PBE) for a relaxed CaTaIn2 crystal.

a = 6.0465 Å, b = 6.0465 Å, c = 5.4240 Å
α = 112.15°, β = 112.15°, γ = 30.47°
Closest atoms and distances in Å follow each position.
Element x y z (fractional)
Ca 0.0000 0.0000 0.0000  7 In 3.08-3.23, 2 Ca 3.18, 3 Ta 3.31-3.37
Ta 0.7552 0.7552 0.4238  7 In 3.11-3.19, 2 Ta 3.18, 3 Ca 3.31-3.37
In 0.2459 0.2459 0.9115  3 Ca 3.09-3.23, 4 Ta 3.12-3.17, 5 In 3.18-3.36
In 0.4929 0.4929 0.4794  4 Ca 3.08-3.21, 3 Ta 3.11-3.19, 5 In 3.18-3.36

Values from the calculation:
Space-group type: Cm

Density functional theory data (GGA-PBE) for a relaxed HfV3Rh crystal.

a = 4.5648 Å, b = 4.5648 Å, c = 4.5648 Å
α = 90.00°, β = 90.00°, γ = 90.00°
Closest atoms and distances in Å follow each position.
Element x y z (fractional)
Hf 0.0000 0.0000 0.0000  12 V 3.23
V 0.0000 0.5000 0.5000  2 Rh 2.28
V 0.5000 0.0000 0.5000  2 Rh 2.28
V 0.5000 0.5000 0.0000  2 Rh 2.28
Rh 0.5000 0.5000 0.5000  6 V 2.28

Values from the calculation:
Space-group type: Pm-3m
Energy above the most stable polymorph in this dataset in meV per atom: 0

Density functional theory data (GGA-PBE) for a relaxed Ac2CdS crystal.

a = 3.7091 Å, b = 3.7091 Å, c = 8.6065 Å
α = 90.00°, β = 90.00°, γ = 90.00°
Closest atoms and distances in Å follow each position.
Element x y z (fractional)
Ac 0.0000 0.0000 0.2243  4 S 3.26, 4 Cd 3.54
Ac 0.0000 0.0000 0.7757  4 S 3.26, 4 Cd 3.54
Cd 0.5000 0.5000 0.5000  8 Ac 3.54, 4 Cd 3.71
S 0.5000 0.5000 0.0000  8 Ac 3.26

Values from the calculation:
Space-group type: P4/mmm
Energy above the most stable polymorph in this dataset in meV per atom: 143
Raw formation energy in meV/atom: -882

Density functional theory data (GGA-PBE) for a relaxed CrOs5 crystal.

a = 5.0779 Å, b = 5.0779 Å, c = 5.0779 Å
α = 60.00°, β = 60.00°, γ = 60.00°
Closest atoms and distances in Å follow each position.
Element x y z (fractional)
Cr 0.0000 0.0000 0.0000  16 Os 2.98-3.11
Os 0.3749 0.3749 0.3749  6 Os 2.54
Os 0.3749 0.3749 0.8752  6 Os 2.54
Os 0.3749 0.8752 0.3749  6 Os 2.54
Os 0.7500 0.7500 0.7500  12 Os 2.98, 4 Cr 3.11
Os 0.8752 0.3749 0.3749  6 Os 2.54

Values from the calculation:
Space-group type: F-43m

Density functional theory data (GGA-PBE) for a relaxed Tm3ScIr3 crystal.

a = 6.8229 Å, b = 6.8229 Å, c = 6.4190 Å
α = 90.00°, β = 90.00°, γ = 92.17°
Closest atoms and distances in Å follow each position.
Element x y z (fractional)
Tm 0.2464 0.7536 0.0000  6 Ir 2.89-2.92, 2 Sc 3.22
Tm 0.2466 0.2466 0.0000  6 Ir 2.85-2.96
Tm 0.2638 0.2638 0.5000  6 Ir 2.91-2.95, 2 Tm 3.21
Tm 0.7362 0.7362 0.5000  6 Ir 2.91-2.95, 2 Tm 3.21
Tm 0.7534 0.7534 0.0000  6 Ir 2.85-2.96
Tm 0.7536 0.2464 0.0000  6 Ir 2.89-2.92, 2 Sc 3.22
Sc 0.2267 0.7733 0.5000  6 Ir 2.73-2.84
Sc 0.7733 0.2267 0.5000  6 Ir 2.73-2.84
Ir 0.0000 0.0000 0.2545  2 Sc 2.73, 6 Tm 2.85-2.95
Ir 0.0000 0.0000 0.7455  2 Sc 2.73, 6 Tm 2.85-2.95
Ir 0.0000 0.5000 0.2574  2 Sc 2.84, 6 Tm 2.89-2.96, 1 Ir 3.11
Ir 0.0000 0.5000 0.7426  2 Sc 2.84, 6 Tm 2.89-2.96, 1 Ir 3.11
Ir 0.5000 0.0000 0.2574  2 Sc 2.84, 6 Tm 2.89-2.96, 1 Ir 3.11
Ir 0.5000 0.0000 0.7426  2 Sc 2.84, 6 Tm 2.89-2.96, 1 Ir 3.11

Values from the calculation:
Space-group type: Cmmm

Density functional theory data (GGA-PBE) for a relaxed Sr3GaRh2 crystal.

a = 12.1195 Å, b = 4.4147 Å, c = 12.5359 Å
α = 90.00°, β = 90.00°, γ = 90.00°
Closest atoms and distances in Å follow each position.
Element x y z (fractional)
Sr 0.0657 0.2500 0.1155  1 Ga 3.23, 5 Rh 3.23-3.43
Sr 0.1232 0.7500 0.5559  5 Rh 3.14-3.46, 3 Ga 3.25-3.26
Sr 0.1860 0.2500 0.8075  4 Rh 3.09-3.27, 2 Ga 3.20
Sr 0.3140 0.7500 0.3075  4 Rh 3.09-3.27, 2 Ga 3.20
Sr 0.3768 0.2500 0.0559  5 Rh 3.14-3.46, 3 Ga 3.25-3.26
Sr 0.4343 0.7500 0.6155  1 Ga 3.23, 5 Rh 3.23-3.43
Sr 0.5657 0.2500 0.3845  1 Ga 3.23, 5 Rh 3.23-3.43
Sr 0.6232 0.7500 0.9441  5 Rh 3.14-3.46, 3 Ga 3.25-3.26
Sr 0.6860 0.2500 0.6925  4 Rh 3.09-3.27, 2 Ga 3.20
Sr 0.8140 0.7500 0.1925  4 Rh 3.09-3.27, 2 Ga 3.20
Sr 0.8768 0.2500 0.4441  5 Rh 3.14-3.46, 3 Ga 3.25-3.26
Sr 0.9343 0.7500 0.8845  1 Ga 3.23, 5 Rh 3.23-3.43
Ga 0.1322 0.2500 0.3651  3 Rh 2.49
Ga 0.3678 0.7500 0.8651  3 Rh 2.49
Ga 0.6322 0.2500 0.1349  3 Rh 2.49
Ga 0.8678 0.7500 0.6349  3 Rh 2.49
Rh 0.0518 0.7500 0.3151  2 Ga 2.49
Rh 0.2002 0.7500 0.9793  1 Ga 2.49
Rh 0.2998 0.2500 0.4793  1 Ga 2.49
Rh 0.4482 0.2500 0.8151  2 Ga 2.49
Rh 0.5518 0.7500 0.1849  2 Ga 2.49
Rh 0.7002 0.7500 0.5207  1 Ga 2.49
Rh 0.7998 0.2500 0.0207  1 Ga 2.49
Rh 0.9482 0.2500 0.6849  2 Ga 2.49

Values from the calculation:
Space-group type: Pnma

Density functional theory data (GGA-PBE) for a relaxed Tb8Dy2Al crystal.

a = 9.9541 Å, b = 9.9541 Å, c = 6.4518 Å
α = 93.38°, β = 93.38°, γ = 32.00°
Closest atoms and distances in Å follow each position.
Element x y z (fractional)
Tb 0.0418 0.0418 0.2526  2 Al 3.27, 3 Tb 3.54-3.59
Tb 0.1554 0.1554 0.8122  6 Tb 3.36-3.68, 4 Dy 3.56-3.65
Tb 0.3423 0.3423 0.8798  1 Al 3.07, 2 Tb 3.39, 2 Dy 3.42
Tb 0.4214 0.4214 0.3981  1 Al 3.05, 3 Tb 3.21-3.36
Tb 0.5786 0.5786 0.6019  1 Al 3.05, 3 Tb 3.21-3.36
Tb 0.6577 0.6577 0.1202  1 Al 3.07, 2 Tb 3.39, 2 Dy 3.42
Tb 0.8446 0.8446 0.1878  6 Tb 3.36-3.68, 4 Dy 3.56-3.65
Tb 0.9582 0.9582 0.7474  2 Al 3.27, 3 Tb 3.54-3.59
Dy 0.2403 0.2403 0.3344  9 Tb 3.42-3.80, 2 Dy 3.48
Dy 0.7597 0.7597 0.6656  9 Tb 3.42-3.80, 2 Dy 3.48
Al 0.5000 0.5000 0.0000  8 Tb 3.05-3.27

Values from the calculation:
Space-group type: C2/m

Density functional theory data (GGA-PBE) for a relaxed ZnTcAs2H crystal.

a = 4.8416 Å, b = 4.8416 Å, c = 3.5260 Å
α = 90.00°, β = 90.00°, γ = 90.00°
Closest atoms and distances in Å follow each position.
Element x y z (fractional)
Zn 0.0000 0.0000 0.0000  8 As 2.99
Tc 0.5000 0.5000 0.5000  2 H 1.76
As 0.0000 0.5000 0.5000  2 Tc 2.42
As 0.5000 0.0000 0.5000  2 Tc 2.42
H 0.5000 0.5000 0.0000  2 Tc 1.76

Values from the calculation:
Space-group type: P4/mmm

Density functional theory data (GGA-PBE) for a relaxed La2CdCl crystal.

a = 7.0517 Å, b = 7.0517 Å, c = 7.0517 Å
α = 143.65°, β = 143.65°, γ = 52.35°
Closest atoms and distances in Å follow each position.
Element x y z (fractional)
La 0.0000 0.0000 0.0000  4 Cl 3.11
La 0.7500 0.2500 0.5000  4 Cd 3.11
Cd 0.2500 0.7500 0.5000  4 La 3.11
Cl 0.5000 0.5000 0.0000  4 La 3.11

Values from the calculation:
Space-group type: I-4m2
Energy above the most stable polymorph in this dataset in meV per atom: 311
Raw formation energy in meV/atom: -560

E_tot per entry: -4.594; -3.582; -5.069; -4.638; -8.100; -4.197; -10.162; -7.421; -4.191; -4.581; -4.557; -3.714 eV per atom
Total moment per entry: 0.00; 0.00; 0.00; 0.00; 2.79; 0.00; 2.53; 0.00; 0.00; 0.00; 0.00; 0.87 μB/f.u.